{
  "formula": "Ba2Cu2Ir",
  "functional": "PBE",
  "state": "relaxed",
  "total_magnetization_mub_per_fu": 0.00,
  "formation_enthalpy_0k_mev_per_atom": 169,
  "n_ef_per_ev_atom": 0.533,
  "polymorph_energy_mev_per_atom": 0.0,
  "sg": "No. 139",
  "lattice_angstrom": [[-1.8209, 1.8209, 9.6030], [1.8209, -1.8209, 9.6030], [1.8209, 1.8209, -9.6030]],
  "species": ["Ba", "Cu", "Ba", "Cu", "Ir"],
  "fractional_positions": [[0.4007, 0.4007, 0.0000], [0.7500, 0.2500, 0.5000], [0.5993, 0.5993, 0.0000], [0.2500, 0.7500, 0.5000], [0.0000, 0.0000, 0.0000]]
}

=====

{
  "formula": "Tc3NiBr",
  "functional": "PBE",
  "state": "relaxed",
  "total_magnetization_mub_per_fu": 0.00,
  "raw_formation_energy_kj_per_mol_fu": 880,
  "n_ef_per_ev_atom": 0.835,
  "polymorph_energy_mev_per_atom": 59.8,
  "sg": "No. 221",
  "lattice_angstrom": [[-1.9916, 3.8915, 1.0433], [-3.1024, -0.7388, -3.1666], [-2.5704, -2.1234, 3.0137]],
  "species": ["Ni", "Tc", "Tc", "Tc", "Br"],
  "fractional_positions": [[0.5000, 0.5000, 0.5000], [0.0000, 0.5000, 0.0000], [0.5000, 0.0000, 0.0000], [0.0000, 0.0000, 0.5000], [0.0000, 0.0000, 0.0000]]
}

=====

{
  "formula": "Ca2LaInRh",
  "functional": "PBE",
  "state": "relaxed",
  "total_magnetization_mub_per_fu": 0.00,
  "formation_enthalpy_0k_mev_per_atom": -358,
  "n_ef_per_ev_atom": 1.029,
  "sg": "No. 123",
  "lattice_angstrom": [[5.4992, 0.0000, 0.0000], [0.0000, 5.4992, 0.0000], [0.0000, 0.0000, 5.4230]],
  "species": ["Ca", "La", "In", "Rh", "Ca"],
  "fractional_positions": [[0.5000, 0.0000, 0.0000], [0.0000, 0.0000, 0.5000], [0.5000, 0.5000, 0.5000], [0.0000, 0.0000, 0.0000], [0.0000, 0.5000, 0.0000]]
}

=====

{
  "formula": "TaIn2Sb",
  "functional": "PBE",
  "state": "relaxed",
  "total_magnetization_mub_per_fu": 0.00,
  "raw_formation_energy_kj_per_mol_fu": 186,
  "n_ef_per_ev_atom": 0.814,
  "sg": "No. 123",
  "lattice_angstrom": [[5.0243, 0.0000, 0.0000], [0.0000, 4.2379, 0.0000], [0.0000, 0.0000, 4.2379]],
  "species": ["Ta", "Sb", "In", "In"],
  "fractional_positions": [[0.5000, 0.0000, 0.5000], [0.5000, 0.5000, 0.0000], [0.0000, 0.5000, 0.5000], [0.0000, 0.0000, 0.0000]]
}

=====

{
  "formula": "SiRuPt2",
  "functional": "PBE",
  "state": "relaxed",
  "total_magnetization_mub_per_fu": 0.00,
  "raw_formation_energy_kj_per_mol_fu": -133,
  "n_ef_per_ev_atom": 0.956,
  "sg": "No. 38",
  "lattice_angstrom": [[-1.0057, -0.1742, -3.5898], [2.3090, -1.5410, -0.5721], [-1.6985, -5.4296, 0.7394]],
  "species": ["Si", "Ru", "Pt", "Pt"],
  "fractional_positions": [[0.5000, 0.9613, 0.7015], [0.0000, 0.5377, 0.5506], [0.5000, 0.1823, 0.2602], [0.0000, 0.8186, 0.9876]]
}

=====

{
  "formula": "SrTmAgAu",
  "functional": "PBE",
  "state": "relaxed",
  "total_magnetization_mub_per_fu": 0.00,
  "formation_enthalpy_0k_mev_per_atom": -455,
  "n_ef_per_ev_atom": 0.806,
  "sg": "No. 216",
  "lattice_angstrom": [[-3.2732, 3.7976, 1.5116], [-1.6455, 0.2151, 4.9666], [1.6978, 3.8167, 3.1577]],
  "species": ["Ag", "Sr", "Au", "Tm"],
  "fractional_positions": [[0.2500, 0.2500, 0.2500], [0.5000, 0.5000, 0.5000], [0.7500, 0.7500, 0.7500], [0.0000, 0.0000, 0.0000]]
}